Compound: MgTaTiAl2
Source: the Alexandria database
Functional: PBE-GGA
Structure: relaxed

a b c (Å): 4.7218 4.7218 4.8088
angles (deg): 90.00 90.00 90.00
With the nearest neighbours (Å) after each atom.
Space group P4/mmm (No. 123)
One atom of each set of equivalent atoms:
Mg 0.0000 0.0000 0.0000 (multiplicity 1)  2 Ti 2.40
Ta 0.5000 0.5000 0.0000 (multiplicity 1)  4 Mg 3.34, 8 Al 3.37
Ti 0.0000 0.0000 0.5000 (multiplicity 1)  4 Al 2.36, 2 Mg 2.40
Al 0.0000 0.5000 0.5000 (multiplicity 2)  2 Ti 2.36

Magnetic moment: 0.497 μB per formula unit
Formation energy from the elements: 1.327 eV per atom